Computed, not measured: crystalline AlGePtAu at its relaxed geometry at the PBE level of DFT.

Calculated values
The space-group type is F-43m, No. 216. As for the uncorrected energy: -18.5 eV/f.u. Its size of the total moment is 0.00 μB/f.u.

Lattice parameters (Å, degrees): 4.542 4.542 4.542 60.00 60.00 60.00
Positions (direct):
Pt 0.250 0.250 0.250
Au 0.750 0.750 0.750
Ge 0.000 0.000 0.000
Al 0.500 0.500 0.500


Computed, not measured: crystalline Zn2Os at its relaxed geometry at the PBE level of DFT.

Calculated values
Its energy of formation is 0.182 eV per atom. The space-group type is Cmcm, No. 63. As for the uncorrected energy: -13.2 eV/f.u. Its size of the total moment is 0.00 μB/f.u.

Lattice parameters (Å, degrees): 14.320 2.650 4.425 90.00 90.00 90.00
Positions (direct):
Zn 0.277 0.500 0.500
Zn 0.777 0.000 0.500
Zn 0.944 0.500 0.500
Zn 0.000 0.000 0.000
Zn 0.668 0.000 0.000
Zn 0.168 0.500 0.000
Zn 0.500 0.500 0.000
Zn 0.444 0.000 0.500
Os 0.337 0.000 0.000
Os 0.837 0.500 0.000
Os 0.607 0.500 0.500
Os 0.107 0.000 0.500